## KSn2Rh2 (PBE-GGA)

Data for a relaxed KSn2Rh2 crystal.

Energy above the lowest structure with this stoichiometry ... 6.4 kJ/mol of atoms
Energy relative to the elements ... -268 meV per atom

a b c (Å): 8.1595 8.1595 3.0211
angles (deg): 90.00 90.00 90.00
Space group P4/mbm (No. 127)
Symmetry-distinct sites (fractional):
1 K 0.0000 0.0000 0.0000 x2
2 Sn 0.1494 0.3505 0.5000 x4
3 Rh 0.1406 0.6406 0.0000 x4